Entry 1:
16
Lattice="6.240 0.000 0.000 0.000 7.213 0.000 0.000 0.000 11.195" Properties=species:S:1:pos:R:3 comment="Tb4Y3Sc PBE-GGA relaxed" de_polymorph_mev_per_atom=0 e_form_mev_per_atom=18 pbc="T T T"
Tb 0.961 6.310 0.000
Tb 4.029 0.911 0.000
Tb 6.134 0.917 2.741
Tb 3.014 6.296 2.857
Tb 0.909 6.302 5.598
Tb 4.081 0.903 5.598
Tb 3.014 6.296 8.338
Tb 6.134 0.917 8.455
Y 4.027 4.501 0.000
Y 6.112 4.496 2.787
Y 2.992 2.717 2.811
Y 0.907 2.712 5.598
Y 2.992 2.717 8.384
Y 6.112 4.496 8.408
Sc 0.907 2.714 0.000
Sc 4.027 4.499 5.598

Entry 2:
19
Lattice="5.575 0.011 0.670 0.595 5.543 0.670 0.012 0.011 5.615" Properties=species:S:1:pos:R:3 comment="ErBe17Re PBE-GGA relaxed" e_form_mev_per_atom=-104 pbc="T T T"
Er 4.079 3.672 4.589
Be 1.621 0.049 4.151
Be 4.097 1.607 0.703
Be 0.461 3.906 2.096
Be 2.028 3.906 0.703
Be 0.218 1.607 4.151
Be 3.933 0.049 2.096
Be 2.403 4.710 2.704
Be 2.107 1.896 5.219
Be 4.936 1.896 2.704
Be 3.729 0.931 4.195
Be 4.012 3.611 1.799
Be 1.317 3.611 4.195
Be 5.885 2.799 6.620
Be 6.176 5.559 4.153
Be 3.400 5.559 6.620
Be 5.616 5.055 6.318
Be 0.635 0.572 0.714
Re 2.077 1.869 2.336

Entry 3:
8
Lattice="-1.743 -3.394 0.962 -1.831 -1.011 -6.883 5.038 -3.464 -3.089" Properties=species:S:1:pos:R:3 comment="AcPmEr2S4 PBE-GGA relaxed" formation_energy_uncorrected_ev_per_atom=-1.971 pbc="T T T"
Ac -1.787 -2.203 -2.960
Pm 1.603 -2.238 -4.986
Er 5.038 -3.464 -3.089
Er 1.647 -3.429 -1.063
S 2.268 -3.329 -7.632
S -0.805 -4.540 -1.378
S -1.041 -3.339 -5.614
S 2.504 -4.531 -3.396

Entry 4:
9
Lattice="-3.938 -4.723 0.998 8.724 -3.769 -5.262 0.113 0.729 6.183" Properties=species:S:1:pos:R:3 comment="Te8H PBE-GGA relaxed" dft_energy_ev_per_fu=-27.3 pbc="T T T"
H 1.097 -0.515 3.575
Te 2.487 -4.059 -0.923
Te 5.102 -7.350 -3.108
Te 0.578 -0.848 5.160
Te 0.408 -6.320 -0.519
Te 0.007 -5.805 2.689
Te 6.594 -3.404 -0.886
Te 4.656 -5.902 -0.632
Te -0.880 -3.279 2.228

Entry 5:
5
Lattice="3.863 0.000 0.000 0.000 3.863 0.000 0.000 0.000 3.863" Properties=species:S:1:pos:R:3 comment="NbTcO3 PBE-GGA relaxed" formation_energy_uncorrected_ev_per_atom=-0.570 pbc="T T T"
Nb 1.932 1.932 1.932
Tc 0.000 0.000 0.000
O 0.000 1.932 0.000
O 0.000 0.000 1.932
O 1.932 0.000 0.000

Entry 6:
12
Lattice="-3.596 -5.729 2.308 3.141 -1.603 0.916 2.396 7.927 5.653" Properties=species:S:1:pos:R:3 comment="ZrTiSi PBE-GGA relaxed" formation_energy_uncorrected_ev_per_atom=-0.676 pbc="T T T"
Si -0.312 0.990 2.803
Si -0.888 1.208 5.158
Si 2.457 4.152 6.088
Si -0.515 -3.557 2.790
Zr -1.002 -1.272 1.211
Zr -0.198 3.470 6.750
Zr 1.767 1.890 4.496
Zr 0.175 -1.295 4.382
Ti -2.575 -2.722 4.066
Ti 1.375 4.920 3.895
Ti 0.194 0.440 7.351
Ti 1.747 0.155 1.526